No. 1
RbAsI2Cl: relaxed, PBE.

Unit cell a=5.869 b=5.869 c=5.274 alpha=90.00 beta=90.00 gamma=90.00
Space group P4/mmm (No. 123)
Inequivalent atoms, fractional coordinates:
Rb  0.000  0.000  0.000
As  0.500  0.500  0.500
I  0.000  0.500  0.500
Cl  0.500  0.500  0.000



No. 2
La3HgO: relaxed, PBE.

Summary:
polymorph energy (0 for the lowest one) = 1.59 eV per formula unit

Unit cell a=7.002 b=7.002 c=12.585 alpha=90.00 beta=90.00 gamma=90.00
Space group I-4m2 (No. 119)
Inequivalent atoms, fractional coordinates:
La  0.000  0.000  0.126
La  0.000  0.259  0.617
Hg  0.000  0.500  0.124
O  0.000  0.000  0.500
O  0.000  0.500  0.750



No. 3
Nd6Rh2SeBr3: relaxed, PBE.

Unit cell a=7.338 b=12.693 c=7.974 alpha=90.00 beta=107.80 gamma=90.00
Space group C2/m (No. 12)
Inequivalent atoms, fractional coordinates:
Nd  0.211  0.000  0.200
Nd  0.246  0.322  0.202
Rh  0.000  0.168  0.000
Se  0.000  0.500  0.000
Br  0.000  0.000  0.500
Br  0.000  0.340  0.500



No. 4
Sc2Au2I: relaxed, PBE.

Summary:
polymorph energy (0 for the lowest one) = 1.02 eV per formula unit

Unit cell a=4.864 b=4.864 c=10.797 alpha=90.00 beta=90.00 gamma=90.00
Space group I4/mmm (No. 139)
Inequivalent atoms, fractional coordinates:
Sc  0.000  0.500  0.250
Au  0.000  0.000  0.127
I  0.000  0.000  0.500



| no. | electronic total energy (eV for the cell shown) | ΔE_f (raw) (eV per formula unit) |
| --- | --- | --- |
| 1 | -14.3 | -3.71 |
| 2 | -101.1 | -5.23 |
| 3 | -132.3 | -14.34 |
| 4 | -45.4 | -1.95 |